1.
DFT (PBE-GGA) results for an optimized crystal structure of Pr2InGe.

Properties
As for the magnetization: 0.000 μB/atom. For the density of states at the Fermi level, the calculation gives 1.110 states/eV/atom. As for the crystal system: trigonal.

Cell: 4.333 4.333 8.215 Å, 74.71 74.71 60.00°
Sites, in units of the cell vectors:
Ge 0.000 0.000 0.000
Pr 0.737 0.737 0.789
Pr 0.263 0.263 0.211
In 0.500 0.500 0.500

2.
DFT (PBE-GGA) results for an optimized crystal structure of Pr4InGe.

Properties
As for the magnetization: 0.000 μB/atom. For the density of states at the Fermi level, the calculation gives 0.935 states/eV/atom. As for the crystal system: monoclinic.

Cell: 5.989 7.017 9.896 Å, 90.00 117.08 90.00°
Sites, in units of the cell vectors:
Pr 0.898 0.015 0.242
Pr 0.102 0.985 0.758
Pr 0.102 0.515 0.758
Ge 0.197 0.250 0.543
Pr 0.312 0.750 0.135
In 0.687 0.750 0.917
Ge 0.803 0.750 0.457
Pr 0.394 0.750 0.547
Pr 0.898 0.485 0.242
Pr 0.606 0.250 0.453
Pr 0.688 0.250 0.865
In 0.313 0.250 0.083

3.
DFT (PBE-GGA) results for an optimized crystal structure of PrInGe.

Properties
As for the magnetization: 0.000 μB/atom. For the density of states at the Fermi level, the calculation gives 0.129 states/eV/atom. As for the crystal system: trigonal.

Cell: 4.649 4.448 4.448 Å, 120.00 90.00 90.00°
Sites, in units of the cell vectors:
In 0.259 0.667 0.333
Ge 0.050 0.000 0.000
Pr 0.691 0.333 0.667

4.
DFT (PBE-GGA) results for an optimized crystal structure of Pr2InGe.

Properties
As for the magnetization: 0.054 μB/atom. For the density of states at the Fermi level, the calculation gives 0.937 states/eV/atom. As for the crystal system: orthorhombic.

Cell: 4.285 4.628 6.262 Å, 111.69 90.00 90.00°
Sites, in units of the cell vectors:
In 0.500 0.549 0.098
Pr 0.000 0.980 0.961
Pr 0.500 0.262 0.525
Ge 0.000 0.708 0.415

Result set for formation energy: -0.494, -0.446, -0.547, -0.646 eV per atom, one per record in the order listed.
Result set for mass density: 6.13, 6.74, 6.85, 6.75 g/cm3, one per record in the order listed.